# CaSe2Br | Alexandria via LeMat-Bulk | PBE | relaxed
# - ρ (Mg/m³) = 3.99
# - energy relative to the lowest polymorph listed for this composition (meV/atom) = 615
# - DOS(E_F) (states/eV/atom) = 1.334
# - final energy (Ry per atom) = -0.2298
data_CaSe2Br
_cell_length_a 6.6819
_cell_length_b 6.6819
_cell_length_c 6.6819
_cell_angle_alpha 40.95
_cell_angle_beta 40.95
_cell_angle_gamma 40.95
_symmetry_space_group_name_H-M 'P 1'
_symmetry_Int_Tables_number 1
loop_
_symmetry_equiv_pos_as_xyz
'x,y,z'
loop_
_atom_site_label
_atom_site_fract_x
_atom_site_fract_y
_atom_site_fract_z
Ca1 0.7500 0.7500 0.7500
Se1 0.0223 0.0223 0.0223
Se2 0.4777 0.4777 0.4777
Br1 0.2500 0.2500 0.2500

=====

# Ac2Al7Pd | Alexandria via LeMat-Bulk | PBE | relaxed
# - calculated formation energy (kJ per mole of atoms) = -46
# - ρ (Mg/m³) = 5.67
# - DOS(E_F) (states/eV/atom) = 0.402
# - final energy (Ry per atom) = -0.3263
data_Ac2Al7Pd
_cell_length_a 4.4655
_cell_length_b 4.4655
_cell_length_c 11.0072
_cell_angle_alpha 90.00
_cell_angle_beta 90.00
_cell_angle_gamma 90.00
_symmetry_space_group_name_H-M 'P 1'
_symmetry_Int_Tables_number 1
loop_
_symmetry_equiv_pos_as_xyz
'x,y,z'
loop_
_atom_site_label
_atom_site_fract_x
_atom_site_fract_y
_atom_site_fract_z
Ac1 0.5000 0.0000 0.7525
Ac2 0.0000 0.5000 0.2475
Al1 0.0000 0.5000 0.8785
Al2 0.5000 0.0000 0.3623
Al3 0.5000 0.0000 0.1215
Al4 0.0000 0.5000 0.6377
Al5 0.0000 0.0000 0.5000
Al6 0.0000 0.0000 0.0000
Al7 0.5000 0.5000 0.5000
Pd1 0.5000 0.5000 0.0000

=====

# Pm8Ge3Te4Se | Alexandria via LeMat-Bulk | PBE | relaxed
# - ρ (Mg/m³) = 6.91
# - DOS(E_F) (states/eV/atom) = 0.212
# - final energy (Ry per atom) = -0.4121
data_Pm8Ge3Te4Se
_cell_length_a 8.6830
_cell_length_b 8.8100
_cell_length_c 8.6829
_cell_angle_alpha 119.52
_cell_angle_beta 120.00
_cell_angle_gamma 90.00
_symmetry_space_group_name_H-M 'P 1'
_symmetry_Int_Tables_number 1
loop_
_symmetry_equiv_pos_as_xyz
'x,y,z'
loop_
_atom_site_label
_atom_site_fract_x
_atom_site_fract_y
_atom_site_fract_z
Pm1 0.2446 0.7239 0.9792
Pm2 0.2446 0.7239 0.4893
Pm3 0.2583 0.2749 0.5166
Pm4 0.7346 0.7239 0.9792
Pm5 0.2654 0.2761 0.0208
Pm6 0.7417 0.7251 0.4834
Pm7 0.7554 0.2761 0.5107
Pm8 0.7554 0.2761 0.0208
Ge1 0.5000 0.5000 0.0000
Ge2 0.5000 0.5000 0.5000
Ge3 0.0000 0.5000 0.5000
Te1 0.5000 0.0000 0.0000
Te2 0.5000 0.0000 0.5000
Te3 0.0000 0.0000 0.0000
Te4 0.0000 0.0000 0.5000
Se1 0.0000 0.5000 0.0000

=====

# Li6AgHg3 | Alexandria via LeMat-Bulk | PBE | relaxed
# - calculated formation energy (kJ per mole of atoms) = -29
# - ρ (Mg/m³) = 7.12
# - DOS(E_F) (states/eV/atom) = 0.218
# - final energy (Ry per atom) = -0.1341
data_Li6AgHg3
_cell_length_a 4.6917
_cell_length_b 7.8688
_cell_length_c 9.9388
_cell_angle_alpha 107.12
_cell_angle_beta 90.00
_cell_angle_gamma 90.00
_symmetry_space_group_name_H-M 'P 1'
_symmetry_Int_Tables_number 1
loop_
_symmetry_equiv_pos_as_xyz
'x,y,z'
loop_
_atom_site_label
_atom_site_fract_x
_atom_site_fract_y
_atom_site_fract_z
Li1 0.2500 0.4631 0.0925
Li2 0.7500 0.5369 0.9075
Li3 0.2500 0.1549 0.1916
Li4 0.7500 0.8451 0.8084
Li5 0.2500 0.6484 0.6908
Li6 0.7500 0.3516 0.3092
Li7 0.2500 0.2468 0.5004
Li8 0.7500 0.7532 0.4996
Li9 0.2500 0.8531 0.3004
Li10 0.7500 0.1469 0.6996
Li11 0.2500 0.0579 0.8877
Li12 0.7500 0.9421 0.1123
Ag1 0.2500 0.9486 0.5940
Ag2 0.7500 0.0514 0.4060
Hg1 0.2500 0.5457 0.3943
Hg2 0.7500 0.4543 0.6057
Hg3 0.2500 0.3477 0.7967
Hg4 0.7500 0.6523 0.2033
Hg5 0.2500 0.7717 0.9896
Hg6 0.7500 0.2283 0.0104